[1]
Below is crystalline PrY4Ho at its relaxed geometry, with properties calculated at the PBE level.

Lattice parameters (Å, degrees): 9.8666 5.6930 8.9752 129.29 90.00 90.00
Fractional positions:
1 Pr 0.5000 0.5000 0.0000
2 Pr 0.0000 0.0000 0.0000
3 Y 0.1666 0.7540 0.2546
4 Y 0.3335 0.2540 0.2546
5 Y 0.8336 0.7535 0.2541
6 Y 0.3336 0.7465 0.7459
7 Y 0.6664 0.2535 0.2541
8 Y 0.1664 0.2465 0.7459
9 Y 0.6666 0.7460 0.7454
10 Y 0.8334 0.2460 0.7454
11 Ho 0.0000 0.5000 0.5000
12 Ho 0.5000 0.0000 0.5000

Energy relative to the lowest polymorph listed for this composition ... 0 meV per atom
Total moment ... 0.00 μB/cell
Energy relative to the elements ... 0.066 eV per atom

***

[2]
Below is crystalline InSiN3 at its relaxed geometry, with properties calculated at the PBE level.

Lattice parameters (Å, degrees): 4.2249 4.2249 4.2249 90.00 90.00 90.00
Last column: magnetic moment on the atom in μB.
Fractional positions:
1 Si 0.5000 0.5000 0.5000  -0.09
2 N 0.0000 0.5000 0.0000  1.08
3 N 0.0000 0.0000 0.5000  0.81
4 N 0.5000 0.0000 0.0000  0.97
5 In 0.0000 0.0000 0.0000  0.06

VASP energy ... -22.1 eV/f.u.
Total moment ... 3.78 μB/cell

***

[3]
Below is crystalline CdNiBr2 at its relaxed geometry, with properties calculated at the PBE level.

Lattice parameters (Å, degrees): 3.6963 3.6991 7.3237 90.00 90.00 90.00
Last column: magnetic moment on the atom in μB.
Fractional positions:
1 Br 0.0000 0.0000 0.9178  0.00
2 Br 0.5000 0.5000 0.3540  0.00
3 Cd 0.0000 0.0000 0.5557  -0.01
4 Ni 0.5000 0.5000 0.6725  0.12

Energy relative to the lowest polymorph listed for this composition ... 204 meV per atom
Total moment ... 0.09 μB/cell

***

[4]
Below is crystalline CeHfIr2 at its relaxed geometry, with properties calculated at the PBE level.

Lattice parameters (Å, degrees): 4.4658 4.4658 5.4215 65.68 65.68 60.00
Fractional positions:
1 Ir 0.7245 0.7245 0.8265
2 Ir 0.2755 0.2755 0.1735
3 Hf 0.0000 0.0000 0.0000
4 Ce 0.5000 0.5000 0.5000

Total moment ... 0.00 μB/cell
Energy relative to the elements ... -0.729 eV per atom

***

[5]
Below is crystalline LaHf2Cu at its relaxed geometry, with properties calculated at the PBE level.

Lattice parameters (Å, degrees): 4.2075 4.2075 11.0300 79.00 79.00 90.00
Fractional positions:
1 Hf 0.6110 0.1250 0.2500
2 Hf 0.1390 0.6250 0.2500
3 Hf 0.3750 0.3890 0.7500
4 Hf 0.8750 0.8610 0.7500
5 Cu 0.5000 0.5000 0.0000
6 Cu 0.2500 0.7500 0.5000
7 La 0.0000 0.0000 0.0000
8 La 0.7500 0.2500 0.5000

Energy relative to the lowest polymorph listed for this composition ... 35 meV per atom
Total moment ... 0.00 μB/cell
Energy relative to the elements ... 0.427 eV per atom

***

[6]
Below is crystalline LaNbPt3 at its relaxed geometry, with properties calculated at the PBE level.

Lattice parameters (Å, degrees): 4.9454 4.9454 4.9454 90.00 90.00 90.00
Fractional positions:
1 Nb 0.0000 0.0000 0.0000
2 Pt 0.0000 0.5000 0.0000
3 Pt 0.0000 0.0000 0.5000
4 Pt 0.5000 0.0000 0.0000
5 La 0.5000 0.5000 0.5000

Energy relative to the lowest polymorph listed for this composition ... 0 meV per atom
Total moment ... 0.00 μB/cell
Energy relative to the elements ... -0.242 eV per atom

***

[7]
Below is crystalline CaSc2Si at its relaxed geometry, with properties calculated at the PBE level.

Lattice parameters (Å, degrees): 5.5478 5.5478 5.5478 133.15 133.15 68.42
Fractional positions:
1 Ca 0.7500 0.2500 0.5000
2 Sc 0.0000 0.0000 0.0000
3 Sc 0.5000 0.5000 0.0000
4 Si 0.2500 0.7500 0.5000

VASP energy ... -20.4 eV/f.u.
Total moment ... 0.01 μB/cell

***

[8]
Below is crystalline Nb3GeTe6 at its relaxed geometry, with properties calculated at the PBE level.

Lattice parameters (Å, degrees): 6.5280 11.6931 14.7962 90.00 90.00 90.00
Fractional positions:
1 Nb 0.6975 0.9676 0.7500
2 Nb 0.1975 0.5324 0.7500
3 Nb 0.8025 0.4676 0.2500
4 Nb 0.3025 0.0324 0.2500
5 Nb 0.9633 0.3142 0.7500
6 Nb 0.4633 0.1858 0.7500
7 Nb 0.5367 0.8142 0.2500
8 Nb 0.0367 0.6858 0.2500
9 Nb 0.8262 0.1663 0.2500
10 Nb 0.3262 0.3337 0.2500
11 Nb 0.6738 0.6663 0.7500
12 Nb 0.1738 0.8337 0.7500
13 Ge 0.9253 0.9250 0.2500
14 Ge 0.4253 0.5750 0.2500
15 Ge 0.5747 0.4250 0.7500
16 Ge 0.0747 0.0750 0.7500
17 Te 0.8548 0.8177 0.6222
18 Te 0.3548 0.6823 0.8778
19 Te 0.6452 0.3177 0.3778
20 Te 0.1452 0.1823 0.1222
21 Te 0.1452 0.1823 0.3778
22 Te 0.6452 0.3177 0.1222
23 Te 0.3548 0.6823 0.6222
24 Te 0.8548 0.8177 0.8778
25 Te 0.7840 0.1593 0.6228
26 Te 0.2840 0.3407 0.8772
27 Te 0.7160 0.6593 0.3772
28 Te 0.2160 0.8407 0.1228
29 Te 0.2160 0.8407 0.3772
30 Te 0.7160 0.6593 0.1228
31 Te 0.2840 0.3407 0.6228
32 Te 0.7840 0.1593 0.8772
33 Te 0.3655 0.9933 0.6259
34 Te 0.8655 0.5067 0.8741
35 Te 0.1345 0.4933 0.3741
36 Te 0.6345 0.0067 0.1259
37 Te 0.6345 0.0067 0.3741
38 Te 0.1345 0.4933 0.1259
39 Te 0.8655 0.5067 0.6259
40 Te 0.3655 0.9933 0.8741

VASP energy ... -58.5 eV/f.u.
Total moment ... 0.00 μB/cell